The following is a DFT calculation (GGA-PBE) of crystalline NaHg4 at its relaxed geometry.

The structure belongs to space group C2/m (No. 12); the cell edges are 10.392, 4.798 and 7.276 Å and the angles 90.00°, 134.40° and 90.00°. The inequivalent atoms are Na at (0.000, 0.000, 0.000), Hg at (0.095, 0.500, 0.391) and Hg at (0.204, 0.000, 0.800).

The formation energy comes out at -163 meV per atom. For the total energy, the calculation gives -6.7 eV per cell. For the density of states at the Fermi level, the calculation gives 2.036 states/eV per cell. The energy above the most stable polymorph in this dataset comes out at 0.00 eV/f.u. For the calculated volume, the calculation gives 25.92 Å³ per atom.